# 1
A plane-wave DFT calculation with PBE was carried out for a relaxed Ac5Tb12In3 crystal.

Structure (POSCAR):
```
Ac5Tb12In3
1.0
-15.851 -3.586 3.119
9.282 -13.489 2.398
5.036 12.042 10.173
In Tb Ac
12 48 20
Direct
0.875 0.125 0.250
0.125 0.250 0.875
0.625 0.250 0.375
0.375 0.625 0.250
0.875 0.750 0.125
0.250 0.625 0.875
0.125 0.875 0.750
0.250 0.125 0.375
0.750 0.875 0.625
0.625 0.375 0.750
0.375 0.750 0.625
0.750 0.375 0.125
0.353 0.765 0.420
0.353 0.588 0.433
0.147 0.080 0.735
0.088 0.433 0.853
0.147 0.067 0.912
0.765 0.353 0.920
0.067 0.147 0.412
0.235 0.588 0.655
0.735 0.155 0.088
0.735 0.580 0.147
0.912 0.345 0.265
0.647 0.412 0.567
0.433 0.088 0.353
0.655 0.088 0.235
0.420 0.155 0.567
0.412 0.647 0.067
0.912 0.567 0.147
0.920 0.853 0.765
0.567 0.655 0.420
0.588 0.353 0.933
0.933 0.080 0.845
0.235 0.647 0.080
0.765 0.412 0.345
0.655 0.567 0.920
0.265 0.845 0.912
0.080 0.147 0.235
0.647 0.235 0.580
0.853 0.920 0.265
0.420 0.265 0.353
0.845 0.265 0.412
0.580 0.845 0.433
0.433 0.345 0.580
0.345 0.912 0.765
0.853 0.933 0.088
0.845 0.580 0.933
0.920 0.067 0.655
0.265 0.420 0.853
0.412 0.765 0.845
0.080 0.933 0.345
0.155 0.420 0.067
0.567 0.912 0.647
0.933 0.853 0.588
0.155 0.735 0.588
0.580 0.735 0.647
0.088 0.655 0.735
0.067 0.920 0.155
0.588 0.235 0.155
0.345 0.433 0.080
0.000 0.000 0.000
0.875 0.625 0.750
0.500 0.500 0.000
0.875 0.250 0.625
0.625 0.875 0.250
0.750 0.625 0.375
0.000 0.500 0.500
0.500 0.000 0.000
0.250 0.875 0.125
0.000 0.000 0.500
0.750 0.125 0.875
0.375 0.250 0.125
0.000 0.500 0.000
0.125 0.750 0.375
0.375 0.125 0.750
0.250 0.375 0.625
0.500 0.500 0.500
0.125 0.375 0.250
0.625 0.750 0.875
0.500 0.000 0.500
```

Summary:
space group = Ia-3d (230)
DOS at the Fermi energy = 1.751 states/eV per atom
E_form = 0.7617 eV/atom
calculated total energy = -3.45 eV per atom

***

# 2
A plane-wave DFT calculation with PBE was carried out for a relaxed ThZrSb crystal.

Structure (POSCAR):
```
ThZrSb
1.0
-1.757 2.379 3.220
-3.990 -0.766 -1.611
-0.610 -7.008 4.844
Sb Zr Th
2 2 2
Direct
0.814 0.867 0.168
0.314 0.366 0.671
0.814 0.366 0.920
0.314 0.866 0.920
0.314 0.367 0.277
0.814 0.866 0.562
```

Summary:
space group = P4/nmm (129)
DOS at the Fermi energy = 1.033 states/eV per atom
raw formation energy = -0.677 eV/atom
calculated total energy = -7.37 eV per atom

***

# 3
A plane-wave DFT calculation with PBE was carried out for a relaxed Ti3BeZn crystal.

Structure (POSCAR):
```
Ti3BeZn
1.0
4.361 0.000 0.000
0.000 4.361 0.000
0.000 0.000 4.361
Be Ti Zn
1 3 1
Direct
0.000 0.000 0.000
0.500 0.000 0.000
0.000 0.500 0.000
0.000 0.000 0.500
0.500 0.500 0.500
```

Summary:
space group = Pm-3m (221)
DOS at the Fermi energy = 0.561 states/eV per atom
E_form = 0.3243 eV/atom
calculated total energy = -5.41 eV per atom

***

# 4
A plane-wave DFT calculation with PBE was carried out for a relaxed YHgSN2 crystal.

Structure (POSCAR):
```
YHgSN2
1.0
4.226 0.000 0.000
0.000 4.226 0.000
0.000 0.000 5.004
Y S N Hg
1 1 2 1
Direct
0.500 0.500 0.500
0.000 0.000 0.500
0.500 0.000 0.000
0.000 0.500 0.000
0.000 0.000 0.000
```

Summary:
space group = P4/mmm (123)
DOS at the Fermi energy = 0.594 states/eV per atom
raw formation energy = 0.907 eV/atom
calculated total energy = -4.60 eV per atom